Record 1
# Na2MgZr2Se6, relaxed, DFT PBE-GGA
# **Total energy**: -113.09 eV/cell
# **Calculated volume**: 25.60 Å³/atom
data_Na2MgZr2Se6
_cell_length_a 6.728
_cell_length_b 11.755
_cell_length_c 7.468
_cell_angle_alpha 90.00
_cell_angle_beta 107.54
_cell_angle_gamma 90.00
_symmetry_space_group_name_H-M 'C 1 2/m 1'
_symmetry_Int_Tables_number 12
_symmetry_space_group_name_Hall '-C 2y'
loop_
_atom_site_label
_atom_site_type_symbol
_atom_site_fract_x
_atom_site_fract_y
_atom_site_fract_z
Na1 Na 0.000 0.165 0.000
Mg1 Mg 0.000 0.000 0.500
Zr1 Zr 0.000 0.333 0.500
Se1 Se 0.234 0.500 0.717
Se2 Se 0.242 0.170 0.718



Record 2
# Na4MgZr3Se8, relaxed, DFT PBE-GGA
# **Fermi-level density of states**: 15.24 states/eV per cell
# **Total energy**: -243.47 eV/cell
# **Calculated volume**: 23.30 Å³/atom
data_Na4MgZr3Se8
_cell_length_a 7.8014
_cell_length_b 7.8014
_cell_length_c 21.2204
_cell_angle_alpha 90.00
_cell_angle_beta 90.00
_cell_angle_gamma 120.00
_symmetry_space_group_name_H-M 'R -3 m'
_symmetry_Int_Tables_number 166
_symmetry_space_group_name_Hall '-R 3 2"'
loop_
_atom_site_label
_atom_site_type_symbol
_atom_site_fract_x
_atom_site_fract_y
_atom_site_fract_z
Na1 Na 0.0000 0.0000 0.0000
Na2 Na 0.0000 0.5000 0.0000
Mg1 Mg 0.0000 0.0000 0.5000
Zr1 Zr 0.0000 0.5000 0.5000
Se1 Se 0.0000 0.0000 0.2421
Se2 Se 0.9998 0.4999 0.2406



Record 3
# Na3MgZr3Se8, relaxed, DFT PBE-GGA
# **Fermi-level density of states**: 9.42 states/eV per cell
# **Total energy**: -157.01 eV/cell
# **Calculated volume**: 24.76 Å³/atom
data_Na3MgZr3Se8
_cell_length_a 13.443
_cell_length_b 7.752
_cell_length_c 8.425
_cell_angle_alpha 90.00
_cell_angle_beta 122.19
_cell_angle_gamma 90.00
_symmetry_space_group_name_H-M 'C 1 2/m 1'
_symmetry_Int_Tables_number 12
_symmetry_space_group_name_Hall '-C 2y'
loop_
_atom_site_label
_atom_site_type_symbol
_atom_site_fract_x
_atom_site_fract_y
_atom_site_fract_z
Na1 Na 0.000 0.000 0.000
Na2 Na 0.250 0.250 0.000
Mg1 Mg 0.000 0.000 0.500
Zr1 Zr 0.000 0.500 0.500
Zr2 Zr 0.250 0.250 0.500
Se1 Se 0.012 0.254 0.281
Se2 Se 0.242 0.000 0.719
Se3 Se 0.242 0.500 0.725



Record 4
# Na3MgZr2Se6, relaxed, DFT PBE-GGA
# **Fermi-level density of states**: 8.85 states/eV per cell
# **Total energy**: -117.97 eV/cell
# **Calculated volume**: 23.46 Å³/atom
data_Na3MgZr2Se6
_cell_length_a 6.802
_cell_length_b 11.772
_cell_length_c 7.387
_cell_angle_alpha 90.00
_cell_angle_beta 107.89
_cell_angle_gamma 90.00
_symmetry_space_group_name_H-M 'C 1 2/m 1'
_symmetry_Int_Tables_number 12
_symmetry_space_group_name_Hall '-C 2y'
loop_
_atom_site_label
_atom_site_type_symbol
_atom_site_fract_x
_atom_site_fract_y
_atom_site_fract_z
Na1 Na 0.000 0.000 0.000
Na2 Na 0.000 0.333 0.000
Mg1 Mg 0.000 0.500 0.500
Zr1 Zr 0.000 0.166 0.500
Se1 Se 0.240 0.000 0.722
Se2 Se 0.241 0.333 0.721



Record 5
# Na2MgZrSe4, relaxed, DFT PBE-GGA
# **Total energy**: -36.94 eV/cell
# **Calculated volume**: 23.62 Å³/atom
data_Na2MgZrSe4
_cell_length_a 6.865
_cell_length_b 3.956
_cell_length_c 7.322
_cell_angle_alpha 90.00
_cell_angle_beta 108.14
_cell_angle_gamma 90.00
_symmetry_space_group_name_H-M 'P 1 2/m 1'
_symmetry_Int_Tables_number 10
_symmetry_space_group_name_Hall '-P 2y'
loop_
_atom_site_label
_atom_site_type_symbol
_atom_site_fract_x
_atom_site_fract_y
_atom_site_fract_z
Na1 Na 0.000 0.000 0.000
Na2 Na 0.500 0.500 0.000
Mg1 Mg 0.000 0.500 0.500
Zr1 Zr 0.500 0.000 0.500
Se1 Se 0.243 0.000 0.715
Se2 Se 0.266 0.500 0.278



Record 6
# NaMg14Si, relaxed, DFT PBE-GGA
# **Fermi-level density of states**: 16.48 states/eV per cell
# **Total energy**: -56.70 eV/cell
# **Calculated volume**: 22.58 Å³/atom
data_NaMg14Si
_cell_length_a 10.240
_cell_length_b 6.313
_cell_length_c 11.178
_cell_angle_alpha 90.00
_cell_angle_beta 90.00
_cell_angle_gamma 90.00
_symmetry_space_group_name_H-M 'A m m 2'
_symmetry_Int_Tables_number 38
_symmetry_space_group_name_Hall 'A 2 -2'
loop_
_atom_site_label
_atom_site_type_symbol
_atom_site_fract_x
_atom_site_fract_y
_atom_site_fract_z
Na1 Na 0.000 0.000 0.000
Mg1 Mg 0.000 0.242 0.249
Mg2 Mg 0.233 0.000 0.655
Mg3 Mg 0.245 0.246 0.410
Mg4 Mg 0.255 0.000 0.162
Mg5 Mg 0.500 0.000 0.498
Mg6 Mg 0.500 0.000 0.994
Mg7 Mg 0.500 0.247 0.746
Si1 Si 0.000 0.000 0.482